## MnSn2GeBr (PBE-GGA)

Data for a relaxed structure of MnSn2GeBr.

Unit cell a=5.0357 b=5.0357 c=4.5918 alpha=90.00 beta=90.00 gamma=90.00
Closest atoms and distances in Å follow each position.
Element x y z (fractional)
Mn: 0.0000 0.0000 0.0000  2 Ge 2.30, 4 Sn 2.52
Sn: 0.0000 0.5000 0.0000  2 Mn 2.52
Sn: 0.5000 0.0000 0.0000  2 Mn 2.52
Ge: 0.0000 0.0000 0.5000  2 Mn 2.30
Br: 0.5000 0.5000 0.5000  8 Sn 3.41, 4 Ge 3.56

Calculated values
**E**: -4.855 eV/atom
**Symmetry**: P4/mmm, No. 123